1.
# YSc2Se, relaxed, DFT PBE
data_YSc2Se
_chemical_formula_sum 'Y2 Sc4 Se2'
_cell_length_a 4.3147
_cell_length_b 4.3147
_cell_length_c 9.9822
_cell_angle_alpha 90.00
_cell_angle_beta 90.00
_cell_angle_gamma 90.00
_space_group_name_H-M_alt 'I -4 m 2'
_space_group_IT_number 119
_space_group_name_Hall 'I -4 -2'
loop_
_atom_site_label
_atom_site_fract_x
_atom_site_fract_y
_atom_site_fract_z
Y1 0.0000 0.0000 0.0000
Sc1 0.0000 0.0000 0.5000
Sc2 0.0000 0.5000 0.7500
Se1 0.0000 0.5000 0.2500
# E_form (uncorrected)   -37.0 kJ per mole of atoms

2.
# Ti2TcTe6, relaxed, DFT PBE
data_Ti2TcTe6
_chemical_formula_sum 'Ti4 Tc2 Te12'
_cell_length_a 6.8631
_cell_length_b 6.9690
_cell_length_c 11.0083
_cell_angle_alpha 90.00
_cell_angle_beta 123.90
_cell_angle_gamma 90.00
_space_group_name_H-M_alt 'P 1 21/c 1'
_space_group_IT_number 14
loop_
_space_group_symop_operation_xyz
'x,y,z'
'-x,-y,-z'
'-x,y+1/2,-z+1/2'
'x,-y+1/2,z+1/2'
loop_
_atom_site_label
_atom_site_fract_x
_atom_site_fract_y
_atom_site_fract_z
Ti1 0.2196 0.1544 0.2523
Tc1 0.0000 0.0000 0.5000
Te1 0.0854 0.1589 0.9222
Te2 0.2853 0.6695 0.9316
Te3 0.4146 0.9998 0.7584
# E_form (uncorrected)   -32.1 kJ per mole of atoms

3.
# Na2SrAg, relaxed, DFT PBE
data_Na2SrAg
_chemical_formula_sum 'Na6 Sr3 Ag3'
_cell_length_a 3.9647
_cell_length_b 3.9647
_cell_length_c 34.9318
_cell_angle_alpha 90.00
_cell_angle_beta 90.00
_cell_angle_gamma 120.00
_space_group_name_H-M_alt 'R -3 m'
_space_group_IT_number 166
_space_group_name_Hall '-R 3 2"'
loop_
_atom_site_label
_atom_site_fract_x
_atom_site_fract_y
_atom_site_fract_z
Na1 0.0000 0.0000 0.1093
Sr1 0.0000 0.0000 0.0000
Ag1 0.0000 0.0000 0.5000
# Excess energy over the best structure of this formula in the dataset   0.283 eV/atom
# Formation energy   0.200 eV per atom

4.
# Sr3AsPd, relaxed, DFT PBE
data_Sr3AsPd
_chemical_formula_sum 'Sr3 As1 Pd1'
_cell_length_a 5.8735
_cell_length_b 5.8735
_cell_length_c 5.8735
_cell_angle_alpha 90.00
_cell_angle_beta 90.00
_cell_angle_gamma 90.00
_space_group_name_H-M_alt 'P m -3 m'
_space_group_IT_number 221
_space_group_name_Hall '-P 4 2 3'
loop_
_atom_site_label
_atom_site_fract_x
_atom_site_fract_y
_atom_site_fract_z
Sr1 0.0000 0.0000 0.5000
As1 0.0000 0.0000 0.0000
Pd1 0.5000 0.5000 0.5000
# Excess energy over the best structure of this formula in the dataset   0.000 eV/atom
# Formation energy   -0.398 eV per atom

5.
# Pa2TiBe, relaxed, DFT PBE
data_Pa2TiBe
_chemical_formula_sum 'Pa2 Ti1 Be1'
_cell_length_a 3.5095
_cell_length_b 3.5095
_cell_length_c 6.5348
_cell_angle_alpha 90.00
_cell_angle_beta 90.00
_cell_angle_gamma 90.00
_space_group_name_H-M_alt 'P 4/m m m'
_space_group_IT_number 123
_space_group_name_Hall '-P 4 2'
loop_
_atom_site_label
_atom_site_fract_x
_atom_site_fract_y
_atom_site_fract_z
Pa1 0.0000 0.0000 0.2140
Ti1 0.5000 0.5000 0.5000
Be1 0.5000 0.5000 0.0000
# Excess energy over the best structure of this formula in the dataset   0.091 eV/atom
# Formation energy   0.269 eV per atom

6.
# PuInAgS4, relaxed, DFT PBE
data_PuInAgS4
_chemical_formula_sum 'Pu4 In4 Ag4 S16'
_cell_length_a 7.6969
_cell_length_b 8.0285
_cell_length_c 11.0688
_cell_angle_alpha 90.00
_cell_angle_beta 90.00
_cell_angle_gamma 90.00
_space_group_name_H-M_alt 'I m m a'
_space_group_IT_number 74
_space_group_name_Hall '-I 2b 2'
loop_
_atom_site_label
_atom_site_fract_x
_atom_site_fract_y
_atom_site_fract_z
Pu1 0.0000 0.0000 0.0000
In1 0.2500 0.2500 0.2500
Ag1 0.0000 0.2500 0.6344
S1 0.0000 0.0254 0.2458
S2 0.2313 0.2500 0.0020
# E_form (uncorrected)   -76.4 kJ per mole of atoms

7.
# Ba2HgMo, relaxed, DFT PBE
data_Ba2HgMo
_chemical_formula_sum 'Ba8 Hg4 Mo4'
_cell_length_a 8.0045
_cell_length_b 8.0045
_cell_length_c 8.0045
_cell_angle_alpha 90.00
_cell_angle_beta 90.00
_cell_angle_gamma 90.00
_space_group_name_H-M_alt 'F -4 3 m'
_space_group_IT_number 216
_space_group_name_Hall 'F -4 2 3'
loop_
_atom_site_label
_atom_site_fract_x
_atom_site_fract_y
_atom_site_fract_z
Ba1 0.0000 0.0000 0.0000
Ba2 0.2500 0.2500 0.2500
Hg1 0.2500 0.2500 0.7500
Mo1 0.0000 0.0000 0.5000
# Formation energy   0.679 eV per atom

8.
# BaLiMgHg2, relaxed, DFT PBE
data_BaLiMgHg2
_chemical_formula_sum 'Ba1 Li1 Mg1 Hg2'
_cell_length_a 5.2444
_cell_length_b 5.2444
_cell_length_c 5.1370
_cell_angle_alpha 90.00
_cell_angle_beta 90.00
_cell_angle_gamma 90.00
_space_group_name_H-M_alt 'P 4/m m m'
_space_group_IT_number 123
_space_group_name_Hall '-P 4 2'
loop_
_atom_site_label
_atom_site_fract_x
_atom_site_fract_y
_atom_site_fract_z
Ba1 0.0000 0.0000 0.0000
Li1 0.5000 0.5000 0.5000
Mg1 0.5000 0.5000 0.0000
Hg1 0.0000 0.5000 0.5000
# Excess energy over the best structure of this formula in the dataset   0.146 eV/atom
# Formation energy   -0.221 eV per atom